(1)
Cs2InGa2As4: relaxed, GGA-PBE.

POSCAR file:
```
Cs2InGa2As4
1.0
-2.460 3.021 0.911
-5.305 -6.934 -0.113
3.324 0.369 7.749
Ga In As Cs
2 1 4 2
Direct
0.327 0.655 0.026
0.673 0.345 0.974
0.000 0.000 0.000
0.475 0.950 0.205
0.525 0.050 0.795
0.212 0.423 0.167
0.788 0.577 0.833
0.870 0.741 0.469
0.130 0.259 0.531
```

- E (eV per formula unit) = -32.04
- E_form (eV/atom) = -0.327
- crystal system = monoclinic

(2)
CsInGaAs2: relaxed, GGA-PBE.

POSCAR file:
```
CsInGaAs2
1.0
-3.021 3.413 -1.677
-2.329 -2.264 6.620
6.360 7.137 3.071
In Cs As Ga
2 2 4 2
Direct
0.952 0.905 0.815
0.048 0.095 0.185
0.660 0.320 0.668
0.340 0.680 0.332
0.140 0.279 0.950
0.860 0.721 0.050
0.617 0.234 0.290
0.383 0.766 0.710
0.665 0.330 0.056
0.335 0.670 0.944
```

- E (eV per formula unit) = -17.51
- E_form (eV/atom) = -0.318
- crystal system = monoclinic